The following is a DFT calculation (PBE-GGA) of a geometry-optimized Fe2Ni2P structure.

abc: 5.5375 5.5375 3.8094
angles: 90.00 90.00 90.00
With the nearest neighbours (Å) after each atom.
Positions (direct):
Fe (0.8574, 0.6426, 0.0000)  2 P 2.13, 1 Fe 2.23
Fe (0.3574, 0.8574, 0.0000)  2 P 2.13, 1 Fe 2.23
Fe (0.6426, 0.1426, 0.0000)  2 P 2.13, 1 Fe 2.23
Fe (0.1426, 0.3574, 0.0000)  2 P 2.13, 1 Fe 2.23
P (0.5000, 0.5000, 0.0000)  4 Fe 2.13
P (0.0000, 0.0000, 0.0000)  4 Fe 2.13
Ni (0.8440, 0.3440, 0.5000)  1 Ni 2.44, 6 Fe 2.47-2.52
Ni (0.6560, 0.8440, 0.5000)  1 Ni 2.44, 6 Fe 2.47-2.52
Ni (0.1560, 0.6560, 0.5000)  1 Ni 2.44, 6 Fe 2.47-2.52
Ni (0.3440, 0.1560, 0.5000)  1 Ni 2.44, 6 Fe 2.47-2.52

Summary:
As for the crystal system: tetragonal. The value obtained for the calculated density is 7.4 g/cm3.



The following is a DFT calculation (PBE-GGA) of a geometry-optimized Fe2NiP structure.

abc: 3.6361 2.5879 4.9973
angles: 71.42 90.00 90.00
With the nearest neighbours (Å) after each atom.
Positions (direct):
P (0.5000, 0.7500, 0.7500)  4 Fe 2.28, 2 Ni 2.42
Fe (0.0000, 0.5803, 0.5140)  2 P 2.28, 2 Fe 2.43-2.50, 2 Ni 2.55
Fe (0.0000, 0.9197, 0.9860)  2 P 2.28, 2 Fe 2.43-2.50, 2 Ni 2.55
Ni (0.5000, 0.2500, 0.2500)  2 P 2.42, 8 Fe 2.55-2.57, 2 Ni 2.59

Summary:
As for the crystal system: monoclinic. The value obtained for the calculated density is 7.5 g/cm3.



Number 1: energy -6.78 eV/atom, E_form 0.00 eV per atom. Number 2: energy -7.15 eV/atom, E_form -0.12 eV per atom.